DFT (PBE-GGA) results for crystalline DyMn2Si2Pt7 at its relaxed geometry.

Geometry as POSCAR:
```
DyMn2Si2Pt7
1.0
4.032 0.014 0.287
0.019 4.032 0.287
3.023 3.019 12.458
Pt Dy Mn Si
7 1 2 2
direct
0.822 0.322 0.184
0.238 0.238 0.492
0.678 0.178 0.816
0.500 0.500 0.000
0.762 0.762 0.508
0.178 0.678 0.816
0.322 0.822 0.184
0.000 0.000 0.000
0.321 0.321 0.665
0.679 0.679 0.335
0.201 0.201 0.309
0.799 0.799 0.691
```

Values from the calculation:
- Total magnetic moment: 0.73 μB per atom
- Calculated volume: 195.59 Å³ per cell
- Theoretical density: 14.4 g cm⁻³
- Raw formation energy: -13.67 kcal/mol of atoms